{"formula": "AlSbPb", "functional": "PBE-GGA", "state": "relaxed", "space_group": "C2/m, No. 12", "dft_energy_ev_per_fu": -11.30, "raw_formation_energy_ev_per_fu": 0.3, "m_tot_mub_per_atom": 0.00, "lattice_angstrom": [[4.2093, 0.0000, 0.0000], [-2.1046, 3.6171, -0.0282], [0.0000, -2.3391, 11.7636]], "species": ["Al", "Al", "Pb", "Pb", "Sb", "Sb"], "fractional_positions": [[0.1909, 0.3818, 0.0723], [0.8091, 0.6182, 0.9277], [0.3010, 0.6020, 0.4058], [0.6990, 0.3980, 0.5942], [0.1086, 0.2172, 0.8222], [0.8914, 0.7828, 0.1778]]}

***

{"formula": "AlSbPb", "functional": "PBE-GGA", "state": "relaxed", "space_group": "P3m1, No. 156", "dft_energy_ev_per_fu": -11.01, "raw_formation_energy_ev_per_fu": 0.6, "m_tot_mub_per_atom": 0.00, "lattice_angstrom": [[-0.2258, 2.5392, 2.2599], [-2.7929, -1.0994, -1.6115], [-1.2972, -5.3877, 5.9239]], "species": ["Pb", "Sb", "Al"], "fractional_positions": [[0.6667, 0.3333, 0.2911], [0.3333, 0.6667, 0.7219], [0.0000, 0.0000, 0.9870]]}

***

{"formula": "AlSb3Pb", "functional": "PBE-GGA", "state": "relaxed", "space_group": "Pm-3m, No. 221", "dft_energy_ev_per_fu": -17.94, "raw_formation_energy_ev_per_fu": 1.9, "m_tot_mub_per_atom": 0.00, "lattice_angstrom": [[-1.5152, -2.4965, 4.4702], [-0.5158, -4.5637, -2.7235], [5.0940, -1.2047, 1.0539]], "species": ["Pb", "Sb", "Sb", "Sb", "Al"], "fractional_positions": [[0.5000, 0.5000, 0.5000], [0.0000, 0.5000, 0.0000], [0.0000, 0.0000, 0.5000], [0.5000, 0.0000, 0.0000], [0.0000, 0.0000, 0.0000]]}

***

{"formula": "AlSbPb2", "functional": "PBE-GGA", "state": "relaxed", "space_group": "Fm-3m, No. 225", "dft_energy_ev_per_fu": -14.37, "raw_formation_energy_ev_per_fu": 0.9, "m_tot_mub_per_atom": 0.00, "lattice_angstrom": [[0.0000, 3.8420, 3.8420], [3.8420, 0.0000, 3.8420], [3.8420, 3.8420, 0.0000]], "species": ["Pb", "Pb", "Sb", "Al"], "fractional_positions": [[0.2500, 0.2500, 0.2500], [0.7500, 0.7500, 0.7500], [0.5000, 0.5000, 0.5000], [0.0000, 0.0000, 0.0000]]}

***

{"formula": "AlSbPb2", "functional": "PBE-GGA", "state": "relaxed", "space_group": "Cm, No. 8", "dft_energy_ev_per_fu": -14.74, "raw_formation_energy_ev_per_fu": 0.5, "m_tot_mub_per_atom": 0.00, "lattice_angstrom": [[-1.4360, 2.8178, 5.3200], [-3.9314, 0.2873, 4.7714], [1.8797, -2.8376, 4.5387]], "species": ["Pb", "Pb", "Sb", "Al"], "fractional_positions": [[0.0292, 0.0292, 0.9388], [0.2356, 0.2356, 0.2850], [0.4648, 0.4648, 0.4944], [0.7704, 0.7704, 0.7818]]}

***

{"formula": "AlSbPb", "functional": "PBE-GGA", "state": "relaxed", "space_group": "F-43m, No. 216", "dft_energy_ev_per_fu": -11.05, "raw_formation_energy_ev_per_fu": 0.5, "m_tot_mub_per_atom": 0.00, "lattice_angstrom": [[-2.9316, 2.4056, 3.1961], [-3.5949, -2.4426, 2.3889], [0.4011, -0.8652, 4.8669]], "species": ["Pb", "Sb", "Al"], "fractional_positions": [[0.0000, 0.0000, 0.0000], [0.5000, 0.5000, 0.5000], [0.7500, 0.7500, 0.7500]]}

***

{"formula": "AlSbPb2", "functional": "PBE-GGA", "state": "relaxed", "space_group": "F-43m, No. 216", "dft_energy_ev_per_fu": -14.42, "raw_formation_energy_ev_per_fu": 0.9, "m_tot_mub_per_atom": 0.00, "lattice_angstrom": [[5.4004, 0.0000, 0.0000], [2.7002, 4.6768, 0.0000], [2.7002, 1.5589, 4.4094]], "species": ["Pb", "Pb", "Sb", "Al"], "fractional_positions": [[0.0000, 0.0000, 0.0000], [0.2500, 0.2500, 0.2500], [0.7500, 0.7500, 0.7500], [0.5000, 0.5000, 0.5000]]}

***

{"formula": "AlSbPb2", "functional": "PBE-GGA", "state": "relaxed", "space_group": "P2/m, No. 10", "dft_energy_ev_per_fu": -14.42, "raw_formation_energy_ev_per_fu": 0.9, "m_tot_mub_per_atom": 0.00, "lattice_angstrom": [[-3.6658, -3.7678, 2.3224], [0.8003, -2.2150, -2.3303], [4.3326, -2.1343, 3.3760]], "species": ["Pb", "Pb", "Sb", "Al"], "fractional_positions": [[0.0000, 0.9994, 0.9950], [0.0000, 0.5006, 0.5050], [0.5000, 0.2500, 0.2500], [0.5000, 0.7500, 0.7500]]}

***

{"formula": "AlSbPb2", "functional": "PBE-GGA", "state": "relaxed", "space_group": "Pm, No. 6", "dft_energy_ev_per_fu": -14.75, "raw_formation_energy_ev_per_fu": 0.5, "m_tot_mub_per_atom": 0.00, "lattice_angstrom": [[-3.2723, 2.1114, -1.4840], [-1.9712, -2.5529, 0.7142], [-3.4654, 0.4938, 8.3440]], "species": ["Pb", "Pb", "Sb", "Al"], "fractional_positions": [[0.0000, 0.9077, 0.9632], [0.5000, 0.1182, 0.2442], [0.0000, 0.8517, 0.5364], [0.5000, 0.6223, 0.7562]]}

***

{"formula": "AlSbPb2", "functional": "PBE-GGA", "state": "relaxed", "space_group": "R-3m, No. 166", "dft_energy_ev_per_fu": -14.34, "raw_formation_energy_ev_per_fu": 0.9, "m_tot_mub_per_atom": 0.00, "lattice_angstrom": [[10.9779, -0.0839, -0.0492], [10.4637, 3.3213, -0.0492], [10.4637, 1.5799, 2.9219]], "species": ["Pb", "Pb", "Sb", "Al"], "fractional_positions": [[0.0030, 0.0030, 0.0030], [0.4970, 0.4970, 0.4970], [0.2500, 0.2500, 0.2500], [0.7500, 0.7500, 0.7500]]}

***

{"formula": "AlSbPb", "functional": "PBE-GGA", "state": "relaxed", "space_group": "P3m1, No. 156", "dft_energy_ev_per_fu": -10.98, "raw_formation_energy_ev_per_fu": 0.6, "m_tot_mub_per_atom": 0.00, "lattice_angstrom": [[5.2824, 0.0000, 0.0000], [-2.6412, 4.5747, 0.0000], [0.0000, 0.0000, 3.2399]], "species": ["Pb", "Sb", "Al"], "fractional_positions": [[0.6667, 0.3333, 0.3372], [0.3333, 0.6667, 0.8313], [0.0000, 0.0000, 0.8315]]}

***

{"formula": "AlSbPb2", "functional": "PBE-GGA", "state": "relaxed", "space_group": "P4mm, No. 99", "dft_energy_ev_per_fu": -14.78, "raw_formation_energy_ev_per_fu": 0.5, "m_tot_mub_per_atom": 0.00, "lattice_angstrom": [[-0.5982, 0.5467, -3.7123], [-3.4046, -1.6611, 0.3040], [-3.1828, 6.8006, 1.5144]], "species": ["Pb", "Pb", "Sb", "Al"], "fractional_positions": [[0.0000, 0.0000, 0.9718], [0.5000, 0.5000, 0.2705], [0.0000, 0.0000, 0.5496], [0.5000, 0.5000, 0.7080]]}

***

{"formula": "AlSbPb2", "functional": "PBE-GGA", "state": "relaxed", "space_group": "I4/mmm, No. 139", "dft_energy_ev_per_fu": -14.52, "raw_formation_energy_ev_per_fu": 0.8, "m_tot_mub_per_atom": 0.00, "lattice_angstrom": [[-3.9375, 4.1448, -1.1182], [-4.1978, -2.4274, -3.2280], [2.3524, -1.7095, 5.0475]], "species": ["Pb", "Pb", "Sb", "Al"], "fractional_positions": [[0.9999, 0.9999, 0.0000], [0.5001, 0.5001, 0.0000], [0.7500, 0.2500, 0.5000], [0.2500, 0.7500, 0.5000]]}

***

{"formula": "AlSbPb2", "functional": "PBE-GGA", "state": "relaxed", "space_group": "I-42d, No. 122", "dft_energy_ev_per_fu": -14.43, "raw_formation_energy_ev_per_fu": 0.9, "m_tot_mub_per_atom": 0.00, "lattice_angstrom": [[-4.5045, 2.3025, -4.2654], [-0.0182, -5.8308, -3.1284], [-7.1864, -3.9161, 0.3425]], "species": ["Pb", "Pb", "Pb", "Pb", "Sb", "Sb", "Al", "Al"], "fractional_positions": [[0.5975, 0.1250, 0.2500], [0.1525, 0.6250, 0.2500], [0.3750, 0.4025, 0.7500], [0.8750, 0.8475, 0.7500], [0.0000, 0.0000, 0.0000], [0.7500, 0.2500, 0.5000], [0.5000, 0.5000, 0.0000], [0.2500, 0.7500, 0.5000]]}

***

{"formula": "AlSbPb2", "functional": "PBE-GGA", "state": "relaxed", "space_group": "P4/mmm, No. 123", "dft_energy_ev_per_fu": -14.57, "raw_formation_energy_ev_per_fu": 0.7, "m_tot_mub_per_atom": 0.00, "lattice_angstrom": [[-0.6883, 4.9634, 0.5054], [-3.6466, -0.8473, 3.3546], [2.9973, 0.0818, 3.2788]], "species": ["Pb", "Pb", "Sb", "Al"], "fractional_positions": [[0.0000, 0.0000, 0.0000], [0.5000, 0.5000, 0.0000], [0.5000, 0.0000, 0.5000], [0.0000, 0.5000, 0.5000]]}

***

{"formula": "AlSb3Pb", "functional": "PBE-GGA", "state": "relaxed", "space_group": "Pm-3m, No. 221", "dft_energy_ev_per_fu": -14.66, "raw_formation_energy_ev_per_fu": 5.2, "m_tot_mub_per_atom": 0.00, "lattice_angstrom": [[5.7929, 0.0000, 0.0000], [0.0000, 5.7929, 0.0000], [0.0000, 0.0000, 5.7929]], "species": ["Pb", "Sb", "Sb", "Sb", "Al"], "fractional_positions": [[0.0000, 0.0000, 0.0000], [0.0000, 0.5000, 0.0000], [0.0000, 0.0000, 0.5000], [0.5000, 0.0000, 0.0000], [0.5000, 0.5000, 0.5000]]}

***

{"formula": "AlSbPb2Se5", "functional": "PBE-GGA", "state": "relaxed", "space_group": "Cmc2_1, No. 36", "dft_energy_ev_per_fu": -37.71, "raw_formation_energy_ev_per_fu": -5.0, "m_tot_mub_per_atom": 0.00, "lattice_angstrom": [[4.0756, 0.0000, 0.0000], [-2.0378, 9.2263, 0.0000], [0.0000, 0.0000, 13.1002]], "species": ["Al", "Al", "Sb", "Sb", "Pb", "Pb", "Pb", "Pb", "Se", "Se", "Se", "Se", "Se", "Se", "Se", "Se", "Se", "Se"], "fractional_positions": [[0.5544, 0.1087, 0.9243], [0.4456, 0.8913, 0.4243], [0.7976, 0.5951, 0.5304], [0.2024, 0.4049, 0.0304], [0.8799, 0.7597, 0.8278], [0.1259, 0.2519, 0.6801], [0.1201, 0.2403, 0.3278], [0.8741, 0.7481, 0.1801], [0.3506, 0.7013, 0.0138], [0.6809, 0.3618, 0.8708], [0.4898, 0.9796, 0.7677], [0.2907, 0.5813, 0.6819], [0.9668, 0.9337, 0.5272], [0.6494, 0.2987, 0.5138], [0.3191, 0.6382, 0.3708], [0.5102, 0.0204, 0.2677], [0.7093, 0.4187, 0.1819], [0.0332, 0.0663, 0.0272]]}

***

{"formula": "TaAl2SbPb", "functional": "PBE-GGA", "state": "relaxed", "space_group": "P4/mmm, No. 123", "dft_energy_ev_per_fu": -18.59, "raw_formation_energy_ev_per_fu": 8.6, "m_tot_mub_per_atom": 0.58, "lattice_angstrom": [[-2.6240, 3.6987, -2.4845], [-3.6692, -4.1076, -2.2398], [-3.1097, 0.5447, 4.0953]], "species": ["Pb", "Sb", "Al", "Al", "Ta"], "fractional_positions": [[0.0000, 0.0000, 0.0000], [0.0000, 0.5000, 0.0000], [0.0000, 0.0000, 0.5000], [0.5000, 0.0000, 0.0000], [0.5000, 0.5000, 0.5000]]}

***

{"formula": "AlSbTePb2", "functional": "PBE-GGA", "state": "relaxed", "space_group": "P4/mmm, No. 123", "dft_energy_ev_per_fu": -16.05, "raw_formation_energy_ev_per_fu": 2.4, "m_tot_mub_per_atom": 0.00, "lattice_angstrom": [[-5.4699, 2.4776, 0.2177], [-0.2066, -0.9141, 5.2135], [2.4761, 5.3751, 1.0406]], "species": ["Pb", "Pb", "Sb", "Te", "Al"], "fractional_positions": [[0.0000, 0.0000, 0.5000], [0.5000, 0.0000, 0.0000], [0.0000, 0.0000, 0.0000], [0.5000, 0.5000, 0.5000], [0.0000, 0.5000, 0.0000]]}

***

{"formula": "YAlSb2Pb", "functional": "PBE-GGA", "state": "relaxed", "space_group": "P4/mmm, No. 123", "dft_energy_ev_per_fu": -19.71, "raw_formation_energy_ev_per_fu": 2.5, "m_tot_mub_per_atom": 0.00, "lattice_angstrom": [[-2.2873, 5.5232, 0.0128], [-5.5085, -2.2793, -0.8246], [-0.7519, -0.3251, 5.9217]], "species": ["Pb", "Sb", "Sb", "Y", "Al"], "fractional_positions": [[0.5000, 0.5000, 0.5000], [0.0000, 0.0000, 0.5000], [0.5000, 0.0000, 0.0000], [0.0000, 0.0000, 0.0000], [0.0000, 0.5000, 0.0000]]}

***

{"formula": "Y2AlSbPb", "functional": "PBE-GGA", "state": "relaxed", "space_group": "P4/mmm, No. 123", "dft_energy_ev_per_fu": -24.08, "raw_formation_energy_ev_per_fu": 0.4, "m_tot_mub_per_atom": 0.00, "lattice_angstrom": [[-5.4823, 1.0034, -1.2942], [-1.4220, -3.9390, 2.9697], [-0.4126, 3.5297, 4.4842]], "species": ["Pb", "Sb", "Y", "Y", "Al"], "fractional_positions": [[0.5000, 0.5000, 0.5000], [0.0000, 0.0000, 0.0000], [0.0000, 0.0000, 0.5000], [0.5000, 0.0000, 0.0000], [0.0000, 0.5000, 0.0000]]}

***

{"formula": "ZrAlSbPb2", "functional": "PBE-GGA", "state": "relaxed", "space_group": "P4/mmm, No. 123", "dft_energy_ev_per_fu": -21.07, "raw_formation_energy_ev_per_fu": 2.8, "m_tot_mub_per_atom": 0.00, "lattice_angstrom": [[-2.1307, -4.4190, 1.9467], [3.0504, -2.9204, -3.2906], [3.7780, -0.2005, 3.6802]], "species": ["Pb", "Pb", "Sb", "Al", "Zr"], "fractional_positions": [[0.0000, 0.0000, 0.5000], [0.5000, 0.0000, 0.0000], [0.5000, 0.5000, 0.5000], [0.0000, 0.0000, 0.0000], [0.0000, 0.5000, 0.0000]]}

***

{"formula": "Sc2AlPb", "functional": "PBE-GGA", "state": "relaxed", "space_group": "P4/mmm, No. 123", "dft_energy_ev_per_fu": -21.51, "m_tot_mub_per_atom": 0.00, "lattice_angstrom": [[3.2556, 0.0006, 0.0000], [-0.0006, 3.2556, 0.0000], [0.0000, 0.0000, 8.4043]], "species": ["Pb", "Sc", "Sc", "Al"], "fractional_positions": [[0.5000, 0.5000, 0.7500], [0.0000, 0.0000, 0.0233], [0.0000, 0.0000, 0.4767], [0.5000, 0.5000, 0.2500]]}

***

{"formula": "Sc2AlPb", "functional": "PBE-GGA", "state": "relaxed", "space_group": "P2/m, No. 10", "dft_energy_ev_per_fu": -21.01, "m_tot_mub_per_atom": 0.00, "lattice_angstrom": [[3.3876, 0.0000, 0.0000], [0.0000, 5.9117, -0.0241], [0.0000, 3.9301, 4.6391]], "species": ["Pb", "Sc", "Sc", "Al"], "fractional_positions": [[0.0000, 0.0000, 0.5000], [0.0000, 0.0000, 0.0000], [0.5000, 0.5000, 0.0000], [0.5000, 0.5000, 0.5000]]}

***

{"formula": "ScAlPb", "functional": "PBE-GGA", "state": "relaxed", "space_group": "Fmm2, No. 42", "dft_energy_ev_per_fu": -14.09, "m_tot_mub_per_atom": 0.00, "lattice_angstrom": [[-0.9000, 6.1070, 1.4148], [-1.4529, 4.2485, 4.2868], [3.0573, 1.3501, 0.9158]], "species": ["Pb", "Sc", "Al"], "fractional_positions": [[0.3402, 0.3402, 0.6598], [0.6514, 0.6514, 0.3486], [0.0084, 0.0084, 0.9916]]}

***

{"formula": "ScAlPb", "functional": "PBE-GGA", "state": "relaxed", "space_group": "P1, No. 1", "dft_energy_ev_per_fu": -14.33, "m_tot_mub_per_atom": 0.00, "lattice_angstrom": [[-1.1609, 1.3536, 2.7287], [-0.9983, -2.9341, 1.0322], [12.3567, -0.5567, 5.3760]], "species": ["Pb", "Pb", "Sc", "Sc", "Al", "Al"], "fractional_positions": [[0.2375, 0.0399, 0.2723], [0.9333, 0.9128, 0.0385], [0.7406, 0.7591, 0.7269], [0.7274, 0.6221, 0.4462], [0.2540, 0.3242, 0.8619], [0.2345, 0.1896, 0.5839]]}

***

{"formula": "ScAlPb", "functional": "PBE-GGA", "state": "relaxed", "space_group": "Amm2, No. 38", "dft_energy_ev_per_fu": -14.47, "m_tot_mub_per_atom": 0.00, "lattice_angstrom": [[4.1424, 0.0000, 0.0000], [0.0000, 4.3081, 0.0000], [0.0000, 0.0000, 15.0596]], "species": ["Pb", "Pb", "Pb", "Pb", "Sc", "Sc", "Sc", "Sc", "Al", "Al", "Al", "Al"], "fractional_positions": [[0.5000, 0.0000, 0.8608], [0.5000, 0.5000, 0.3608], [0.0000, 0.0000, 0.0521], [0.0000, 0.5000, 0.5521], [0.0000, 0.0000, 0.7011], [0.0000, 0.5000, 0.2011], [0.5000, 0.0000, 0.5204], [0.5000, 0.5000, 0.0204], [0.0000, 0.0000, 0.3436], [0.0000, 0.5000, 0.8436], [0.5000, 0.0000, 0.1912], [0.5000, 0.5000, 0.6912]]}

***

{"formula": "ScAlPb", "functional": "PBE-GGA", "state": "relaxed", "space_group": "Cmcm, No. 63", "dft_energy_ev_per_fu": -14.45, "m_tot_mub_per_atom": 0.00, "lattice_angstrom": [[4.2448, 0.0000, 0.0000], [0.0000, 15.1469, 0.0000], [0.0000, 0.0000, 4.1671]], "species": ["Pb", "Pb", "Pb", "Pb", "Sc", "Sc", "Sc", "Sc", "Al", "Al", "Al", "Al"], "fractional_positions": [[0.0000, 0.4180, 0.2500], [0.0000, 0.5820, 0.7500], [0.5000, 0.9180, 0.2500], [0.5000, 0.0820, 0.7500], [0.0000, 0.0967, 0.2500], [0.0000, 0.9033, 0.7500], [0.5000, 0.5967, 0.2500], [0.5000, 0.4033, 0.7500], [0.0000, 0.7486, 0.2500], [0.0000, 0.2514, 0.7500], [0.5000, 0.2486, 0.2500], [0.5000, 0.7514, 0.7500]]}